#one
Material: ScPaBe
Method: DFT, GGA-PBE
State: optimized geometry

abc: 5.493 5.385 9.586
angles: 81.60 73.35 59.33
Positions (direct):
Pa: 0.170 0.500 0.661
Sc: 0.172 0.656 0.000
Sc: 0.828 0.344 0.000
Sc: 0.578 0.844 0.500
Be: 0.876 0.000 0.249
Be: 0.124 0.000 0.751
Pa: 0.330 0.500 0.339
Pa: 0.420 0.000 0.161
Sc: 0.922 0.156 0.500
Pa: 0.580 0.000 0.839
Be: 0.874 0.500 0.251
Be: 0.626 0.500 0.749

Calculated values
DOS at the Fermi energy: 17.796 states/eV/cell
Total moment: 0.0 μB/f.u.

---

#two
Material: ScPaBe
Method: DFT, GGA-PBE
State: optimized geometry

abc: 3.038 3.038 6.645
angles: 103.21 103.21 90.00
Positions (direct):
Sc: 0.307 0.307 0.613
Pa: 0.022 0.022 0.044
Be: 0.672 0.672 0.343

Calculated values
DOS at the Fermi energy: 3.747 states/eV/cell
Total moment: 0.0 μB/f.u.

---

Quick one: least stable of them? #two

---

#one
Material: PaBeSi2
Method: DFT, GGA-PBE
State: optimized geometry

abc: 2.982 2.982 8.722
angles: 80.16 80.16 60.00
Positions (direct):
Si: 0.265 0.265 0.204
Be: 0.000 0.000 0.000
Si: 0.735 0.735 0.796
Pa: 0.500 0.500 0.500

Calculated values
DOS at the Fermi energy: 2.709 states/eV/cell
Total moment: 0.0 μB/f.u.

---

#two
Material: PaBeSi2
Method: DFT, GGA-PBE
State: optimized geometry

abc: 4.030 3.938 8.241
angles: 103.82 90.00 90.00
Positions (direct):
Pa: 0.750 0.104 0.209
Be: 0.750 0.322 0.645
Pa: 0.250 0.896 0.791
Si: 0.750 0.749 0.497
Si: 0.750 0.461 0.921
Si: 0.250 0.539 0.079
Be: 0.250 0.678 0.355
Si: 0.250 0.251 0.503

Calculated values
DOS at the Fermi energy: 7.438 states/eV/cell
Total moment: 0.0 μB/f.u.

---

Quick one: least stable of them? #one

---

#one
Material: Pa3Be2Si4
Method: DFT, GGA-PBE
State: optimized geometry

abc: 3.982 5.605 8.087
angles: 111.01 90.00 110.81
Positions (direct):
Si: 0.726 0.452 0.067
Pa: 0.000 0.000 0.000
Si: 0.119 0.238 0.402
Si: 0.881 0.762 0.598
Be: 0.674 0.347 0.313
Be: 0.326 0.653 0.687
Pa: 0.391 0.781 0.329
Pa: 0.609 0.219 0.671
Si: 0.274 0.548 0.933

Calculated values
DOS at the Fermi energy: 11.139 states/eV/cell
Total moment: 0.0 μB/f.u.

---

#two
Material: Pa3Be2Si4
Method: DFT, GGA-PBE
State: optimized geometry

abc: 3.864 5.634 7.839
angles: 97.09 90.00 110.05
Positions (direct):
Si: 0.060 0.120 0.384
Si: 0.283 0.566 0.934
Pa: 0.335 0.669 0.334
Si: 0.940 0.880 0.616
Pa: 0.000 0.000 0.000
Si: 0.717 0.434 0.066
Pa: 0.665 0.331 0.666
Be: 0.610 0.221 0.283
Be: 0.390 0.779 0.717

Calculated values
DOS at the Fermi energy: 9.487 states/eV/cell
Total moment: 0.0 μB/f.u.

---

Quick one: least stable of them? #one